(1)
A plane-wave DFT calculation with PBE-GGA was carried out for a geometry-optimized PaZnSiGe structure.

abc: 4.0120 4.2942 4.3906
angles: 90.00 90.00 90.00
Closest atoms and distances in Å follow each position.
Space group Pmmm (No. 47)
Symmetry-distinct sites (fractional):
Pa 0.0000 0.0000 0.0000 [1 per cell]  4 Si 2.94, 4 Ge 2.97, 4 Zn 3.07
Zn 0.0000 0.5000 0.5000 [1 per cell]  4 Ge 2.94, 4 Si 2.97, 4 Pa 3.07
Si 0.5000 0.5000 0.0000 [1 per cell]  4 Pa 2.94, 4 Zn 2.97, 4 Ge 3.07
Ge 0.5000 0.0000 0.5000 [1 per cell]  4 Zn 2.94, 4 Pa 2.97, 4 Si 3.07

Uncorrected formation energy (meV per atom): -340

---

(2)
A plane-wave DFT calculation with PBE-GGA was carried out for a geometry-optimized TaTl2Se structure.

abc: 7.2813 7.2813 7.2813
angles: 90.00 90.00 90.00
Closest atoms and distances in Å follow each position.
Space group Fm-3m (No. 225)
Symmetry-distinct sites (fractional):
Ta 0.0000 0.0000 0.0000 [4 per cell]  8 Tl 3.15
Tl 0.2500 0.2500 0.2500 [8 per cell]  4 Ta 3.15, 4 Se 3.15
Se 0.0000 0.0000 0.5000 [4 per cell]  8 Tl 3.15

Uncorrected formation energy (meV per atom): 912

---

(3)
A plane-wave DFT calculation with PBE-GGA was carried out for a geometry-optimized BaNi2N2 structure.

abc: 6.2064 6.2064 8.7379
angles: 90.00 90.00 90.00
Closest atoms and distances in Å follow each position.
Space group I4/mcm (No. 140)
Symmetry-distinct sites (fractional):
Ba 0.0000 0.0000 0.2500 [4 per cell]  8 N 3.18, 8 Ni 3.27
Ni 0.1302 0.3698 0.0000 [8 per cell]  3 N 1.77-1.87
N 0.1681 0.3319 0.5000 [8 per cell]  3 Ni 1.77-1.87

Uncorrected formation energy (meV per atom): -215

---

(4)
A plane-wave DFT calculation with PBE-GGA was carried out for a geometry-optimized CeTcAs2Ru structure.

abc: 4.2738 4.2738 10.1475
angles: 90.00 90.00 90.00
Closest atoms and distances in Å follow each position.
Space group I-4m2 (No. 119)
Symmetry-distinct sites (fractional):
Ce 0.0000 0.0000 0.0000 [2 per cell]  8 As 3.31, 4 Tc 3.32, 4 Ru 3.32
Tc 0.0000 0.5000 0.2500 [2 per cell]  4 As 2.45
As 0.0000 0.0000 0.3680 [4 per cell]  2 Tc 2.45, 2 Ru 2.45, 1 As 2.68
Ru 0.0000 0.5000 0.7500 [2 per cell]  4 As 2.45

Formation energy from the elements (meV/atom): -681

---

(5)
A plane-wave DFT calculation with PBE-GGA was carried out for a geometry-optimized CsBeTe structure.

abc: 5.1246 5.8377 16.6023
angles: 90.00 90.00 90.00
Closest atoms and distances in Å follow each position.
Space group Immm (No. 71)
Symmetry-distinct sites (fractional):
Cs 0.0000 0.0000 0.1446 [4 per cell]  5 Te 3.91-3.95, 4 Be 3.94
Be 0.2146 0.5000 0.0000 [4 per cell]  1 Be 2.20, 2 Te 2.44
Te 0.0000 0.0000 0.3823 [4 per cell]  2 Be 2.44

Uncorrected formation energy (meV per atom): -424

---

(6)
A plane-wave DFT calculation with PBE-GGA was carried out for a geometry-optimized Pm8Dy4Sc structure.

abc: 11.0440 11.0440 13.5093
angles: 90.00 90.00 120.00
Closest atoms and distances in Å follow each position.
Space group R-3m (No. 166, hexagonal axes)
Symmetry-distinct sites (fractional):
Pm 0.0000 0.0000 0.2431 [6 per cell]  4 Dy 3.28-3.41, 1 Sc 3.47
Pm 0.0088 0.5044 0.7476 [18 per cell]  4 Dy 3.29-3.41, 1 Sc 3.47
Dy 0.0000 0.0000 0.0000 [3 per cell]  8 Pm 3.28-3.29
Dy 0.0000 0.5000 0.0000 [9 per cell]  8 Pm 3.41
Sc 0.0000 0.0000 0.5000 [3 per cell]  8 Pm 3.47

Formation energy from the elements (meV/atom): 483

---

Electronic total energy? In order: -5.54 -4.11 -6.24 -7.66 -3.00 -4.34 eV per atom.
Spin magnetization? In order: 0.000 1.474 1.193 0.630 0.000 0.000 μB per formula unit.